The following is a DFT calculation (PBE) of crystalline V2CrPt at its relaxed geometry.

Unit cell a=6.029 b=6.029 c=6.029 alpha=90.00 beta=90.00 gamma=90.00
Space group Fm-3m (No. 225)
One atom of each set of equivalent atoms:
V (0.250, 0.250, 0.250) [8 per cell]
Cr (0.000, 0.000, 0.000) [4 per cell]
Pt (0.000, 0.000, 0.500) [4 per cell]

total DFT energy (no corrections) = -8.649 eV per atom
ΔH_f (0 K) = -16.7 kJ/mol of atoms
calculated volume = 13.70 Å³ per atom
total magnetization = 1.6 μB per formula unit



The following is a DFT calculation (PBE) of crystalline VCr2Pt9 at its relaxed geometry.

Unit cell a=3.918 b=3.918 c=11.763 alpha=90.00 beta=90.00 gamma=90.00
Space group P4/mmm (No. 123)
One atom of each set of equivalent atoms:
V (0.000, 0.000, 0.000) [1 per cell]
Cr (0.000, 0.000, 0.336) [2 per cell]
Pt (0.000, 0.500, 0.164) [4 per cell]
Pt (0.000, 0.500, 0.500) [2 per cell]
Pt (0.500, 0.500, 0.000) [1 per cell]
Pt (0.500, 0.500, 0.332) [2 per cell]

total DFT energy (no corrections) = -7.241 eV per atom
ΔH_f (0 K) = -33.5 kJ/mol of atoms
calculated volume = 15.05 Å³ per atom
total magnetization = 6.4 μB per formula unit